VASP calculation (PBE-GGA) on a geometry-optimized K2CoBr4 structure.

Results
**Formation energy without anion corrections**: -1128 meV/atom
**Theoretical density**: 3.1 g cm⁻³
**Raw total energy**: -95.57 eV per cell

```
data_K2CoBr4
_symmetry_space_group_name_H-M 'P n m a'
_symmetry_Int_Tables_number 62
_cell_length_a 9.503
_cell_length_b 7.614
_cell_length_c 13.531
_cell_angle_alpha 90.00
_cell_angle_beta 90.00
_cell_angle_gamma 90.00
loop_
_symmetry_equiv_pos_as_xyz
'x,y,z'
'-x,-y,-z'
'-x+1/2,-y,z+1/2'
'x+1/2,y,-z+1/2'
'x+1/2,-y+1/2,-z+1/2'
'-x+1/2,y+1/2,z+1/2'
'-x,y+1/2,-z'
'x,-y+1/2,z'
loop_
_atom_site_label
_atom_site_fract_x
_atom_site_fract_y
_atom_site_fract_z
K1 0.025 0.250 0.171
K2 0.118 0.750 0.435
Co1 0.222 0.750 0.070
Br1 0.028 0.250 0.917
Br2 0.174 0.503 0.647
Br3 0.194 0.250 0.403
```